Below is a geometry-optimized TlHgTeO6 structure, with properties calculated at the PBE-GGA level.

Output
Spin magnetization in Bohr magnetons per cell: 0.006
Raw formation energy in eV per atom: -0.547

abc: 5.004 5.004 10.173
angles: 90.00 90.00 90.00
Space group P4_2nm (No. 102)
Symmetry-distinct sites (fractional):
Tl (0.000, 0.000, 0.000)
Hg (0.000, 0.000, 0.330)
Te (0.000, 0.000, 0.665)
O (0.180, 0.180, 0.814)
O (0.184, 0.184, 0.521)
O (0.222, 0.222, 0.162)